No. 1
A geometry-optimized Sr2NpSb3Pt4 structure. Source: the Alexandria database, functional PBE.

abc: 4.618 4.618 11.426
angles: 90.00 90.00 90.00
Element x y z (fractional)
Sr  0.000  0.500  0.226
Sr  0.500  0.000  0.774
Np  0.000  0.000  0.500
Sb  0.000  0.500  0.876
Sb  0.500  0.000  0.124
Sb  0.500  0.500  0.500
Pt  0.000  0.000  0.000
Pt  0.000  0.500  0.645
Pt  0.500  0.000  0.355
Pt  0.500  0.500  0.000

Results
E_form (uncorrected): -717 meV per atom
Final energy: -60.01 eV for the cell shown
Calculated volume: 243.7 Å³/cell

No. 2
A geometry-optimized Pm6DyHo3Er2 structure. Source: the Alexandria database, functional PBE.

abc: 6.223 6.223 11.788
angles: 95.03 95.03 119.99
Element x y z (fractional)
Pm  0.083  0.416  0.250
Pm  0.250  0.250  0.750
Pm  0.416  0.083  0.250
Pm  0.584  0.917  0.750
Pm  0.750  0.750  0.250
Pm  0.917  0.584  0.750
Dy  0.500  0.500  0.500
Ho  0.000  0.000  0.000
Ho  0.333  0.667  0.000
Ho  0.667  0.333  0.000
Er  0.167  0.833  0.500
Er  0.833  0.167  0.500

Results
Final energy: -55.81 eV for the cell shown
Calculated volume: 389.3 Å³/cell
Formation energy: 0.01 eV per atom

No. 3
A geometry-optimized MnCdIn structure. Source: the Alexandria database, functional PBE.

abc: 4.565 4.565 4.565
angles: 60.00 60.00 60.00
Element x y z (fractional)
Mn  0.000  0.000  0.000
Cd  0.250  0.250  0.250
In  0.750  0.750  0.750

Results
Final energy: -11.89 eV for the cell shown
Calculated volume: 67.3 Å³/cell
Formation energy: 0.31 eV per atom

No. 4
A geometry-optimized La3Cd11 structure. Source: the Alexandria database, functional PBE.

abc: 9.119 9.119 9.119
angles: 148.13 114.51 74.69
Element x y z (fractional)
La  0.000  0.000  0.000
La  0.292  0.292  0.000
La  0.708  0.708  0.000
Cd  0.015  0.655  0.359
Cd  0.142  0.858  0.284
Cd  0.296  0.655  0.641
Cd  0.327  0.500  0.827
Cd  0.427  0.142  0.284
Cd  0.500  0.000  0.500
Cd  0.573  0.858  0.716
Cd  0.673  0.500  0.173
Cd  0.704  0.345  0.359
Cd  0.858  0.142  0.716
Cd  0.985  0.345  0.641

Results
Final energy: -29.04 eV for the cell shown
Calculated volume: 358.1 Å³/cell
Formation energy: -0.30 eV per atom

No. 5
A geometry-optimized BaPr2Ag structure. Source: the Alexandria database, functional PBE.

abc: 12.232 12.232 12.232
angles: 17.76 17.76 17.76
Element x y z (fractional)
Ba  0.000  0.000  0.000
Pr  0.103  0.103  0.103
Pr  0.897  0.897  0.897
Ag  0.500  0.500  0.500

Results
Final energy: -13.53 eV for the cell shown
Calculated volume: 148.7 Å³/cell
Formation energy: 0.20 eV per atom

No. 6
A geometry-optimized ErZnInCu structure. Source: the Alexandria database, functional PBE.

abc: 4.737 4.737 4.737
angles: 60.00 60.00 60.00
Element x y z (fractional)
Er  0.000  0.000  0.000
Zn  0.250  0.250  0.250
In  0.500  0.500  0.500
Cu  0.750  0.750  0.750

Results
Final energy: -13.88 eV for the cell shown
Calculated volume: 75.2 Å³/cell
Formation energy: -0.30 eV per atom

Please write out number 5 again, unchanged.
A geometry-optimized BaPr2Ag structure. Source: the Alexandria database, functional PBE.

abc: 12.232 12.232 12.232
angles: 17.76 17.76 17.76
Element x y z (fractional)
Ba  0.000  0.000  0.000
Pr  0.103  0.103  0.103
Pr  0.897  0.897  0.897
Ag  0.500  0.500  0.500

Results
Final energy: -13.53 eV for the cell shown
Calculated volume: 148.7 Å³/cell
Formation energy: 0.20 eV per atom